# 1
Material: YIn2Co
Method: DFT, PBE
State: optimized geometry

Lattice parameters (Å, degrees): 5.890 5.890 5.890 147.09 128.55 62.43
Site moments in Bohr magnetons follow the coordinates.
Atoms (fractional coordinates):
Co (0.250, 0.750, 0.500)  0.87
In (0.039, 0.039, 0.000)  0.00
In (0.461, 0.461, 0.000)  0.00
Y (0.750, 0.250, 0.500)  -0.09

E_form (eV/atom): -0.077
Symmetry: Immm


# 2
Material: Mn4Fe
Method: DFT, PBE
State: optimized geometry

Lattice parameters (Å, degrees): 3.498 4.279 4.279 99.61 114.12 65.88
Site moments in Bohr magnetons follow the coordinates.
Atoms (fractional coordinates):
Fe (0.000, 0.000, 0.000)  0.82
Mn (0.201, 0.196, 0.598)  -0.09
Mn (0.603, 0.598, 0.804)  -0.09
Mn (0.799, 0.804, 0.402)  -0.09
Mn (0.397, 0.402, 0.196)  -0.09

E_form (eV/atom): 0.094
E above lowest polymorph (eV/atom): 0.000
Symmetry: I4/m


# 3
Material: ScNiSn
Method: DFT, PBE
State: optimized geometry

Lattice parameters (Å, degrees): 7.209 7.209 3.589 90.00 90.00 120.00
Atoms (fractional coordinates):
Sc (0.603, 0.000, 0.000)
Sc (0.000, 0.603, 0.000)
Sc (0.397, 0.397, 0.000)
Ni (0.000, 0.000, 0.000)
Ni (0.333, 0.667, 0.500)
Ni (0.667, 0.333, 0.500)
Sn (0.269, 0.000, 0.500)
Sn (0.000, 0.269, 0.500)
Sn (0.731, 0.731, 0.500)

E_form (eV/atom): -0.644
Symmetry: P-62m


# 4
Material: ScTiAl2
Method: DFT, PBE
State: optimized geometry

Lattice parameters (Å, degrees): 3.065 3.065 9.356 80.57 80.57 60.00
Atoms (fractional coordinates):
Sc (0.500, 0.500, 0.500)
Al (0.746, 0.746, 0.762)
Al (0.254, 0.254, 0.238)
Ti (0.000, 0.000, 0.000)

E_form (eV/atom): -0.163
E above lowest polymorph (eV/atom): 0.237
Symmetry: R-3m


# 5
Material: MgCo2Ag2
Method: DFT, PBE
State: optimized geometry

Lattice parameters (Å, degrees): 3.337 3.337 7.690 77.47 77.47 90.00
Site moments in Bohr magnetons follow the coordinates.
Atoms (fractional coordinates):
Mg (0.000, 0.000, 0.000)  -0.01
Co (0.750, 0.250, 0.500)  1.78
Co (0.250, 0.750, 0.500)  1.78
Ag (0.397, 0.397, 0.206)  -0.01
Ag (0.603, 0.603, 0.794)  -0.01

E_form (eV/atom): 0.282
E above lowest polymorph (eV/atom): 0.000
Symmetry: I4/mmm


# 6
Material: Na2CaSb2
Method: DFT, PBE
State: optimized geometry

Lattice parameters (Å, degrees): 8.836 8.836 3.527 90.00 90.00 90.00
Atoms (fractional coordinates):
Sb (0.186, 0.686, 0.500)
Sb (0.686, 0.814, 0.500)
Sb (0.814, 0.314, 0.500)
Sb (0.314, 0.186, 0.500)
Ca (0.000, 0.000, 0.000)
Ca (0.500, 0.500, 0.000)
Na (0.387, 0.887, 0.000)
Na (0.887, 0.613, 0.000)
Na (0.613, 0.113, 0.000)
Na (0.113, 0.387, 0.000)

E above lowest polymorph (eV/atom): 0.022
Symmetry: P4/mbm


# 7
Material: KSbIr2
Method: DFT, PBE
State: optimized geometry

Lattice parameters (Å, degrees): 4.285 2.939 7.504 83.33 90.00 90.00
Atoms (fractional coordinates):
Ir (0.000, 0.832, 0.056)
Ir (0.500, 0.299, 0.140)
K (0.000, 0.486, 0.478)
Sb (0.500, 0.883, 0.826)

Symmetry: Pm


# 8
Material: BaAcEu
Method: DFT, PBE
State: optimized geometry

Lattice parameters (Å, degrees): 4.084 4.084 10.093 90.00 90.00 120.00
Site moments in Bohr magnetons follow the coordinates.
Atoms (fractional coordinates):
Eu (0.667, 0.333, 0.346)  -7.02
Ac (0.333, 0.667, 0.656)  -0.03
Ba (0.000, 0.000, 0.999)  0.03

E_form (eV/atom): 0.057
Symmetry: P3m1


# 9
Material: Mg2BiBr
Method: DFT, PBE
State: optimized geometry

Lattice parameters (Å, degrees): 7.167 4.644 10.034 90.00 130.85 90.00
Atoms (fractional coordinates):
Mg (0.864, 0.329, 0.535)
Mg (0.364, 0.671, 0.035)
Mg (0.049, 0.657, 0.343)
Mg (0.549, 0.343, 0.843)
Bi (0.693, 0.173, 0.188)
Bi (0.193, 0.827, 0.688)
Br (0.512, 0.337, 0.549)
Br (0.012, 0.663, 0.049)

E above lowest polymorph (eV/atom): 0.057
Symmetry: Pc


# 10
Material: RbAuI3
Method: DFT, PBE
State: optimized geometry

Lattice parameters (Å, degrees): 9.265 9.265 9.265 50.51 50.51 50.51
Atoms (fractional coordinates):
I (0.507, 0.071, 0.647)
I (0.071, 0.647, 0.507)
I (0.353, 0.493, 0.929)
I (0.929, 0.353, 0.493)
I (0.493, 0.929, 0.353)
I (0.647, 0.507, 0.071)
Au (0.334, 0.334, 0.334)
Au (0.666, 0.666, 0.666)
Rb (0.129, 0.129, 0.129)
Rb (0.871, 0.871, 0.871)

Symmetry: R-3


# 11
Material: Ce2InH
Method: DFT, PBE
State: optimized geometry

Lattice parameters (Å, degrees): 3.220 3.220 7.750 90.00 90.00 90.00
Site moments in Bohr magnetons follow the coordinates.
Atoms (fractional coordinates):
H (0.500, 0.500, 0.000)  0.00
Ce (0.000, 0.000, 0.822)  0.56
Ce (0.000, 0.000, 0.178)  0.56
In (0.500, 0.500, 0.500)  0.00

E above lowest polymorph (eV/atom): 0.204
Symmetry: P4/mmm


# 12
Material: Er3ScHg2
Method: DFT, PBE
State: optimized geometry

Lattice parameters (Å, degrees): 5.071 6.741 9.090 90.00 90.00 90.00
Atoms (fractional coordinates):
Er (0.000, 0.486, 0.951)
Er (0.000, 0.986, 0.049)
Er (0.500, 0.677, 0.180)
Er (0.500, 0.177, 0.820)
Er (0.000, 0.321, 0.332)
Er (0.000, 0.821, 0.668)
Sc (0.500, 0.516, 0.549)
Sc (0.500, 0.016, 0.451)
Hg (0.500, 0.729, 0.846)
Hg (0.500, 0.229, 0.154)
Hg (0.000, 0.272, 0.652)
Hg (0.000, 0.772, 0.348)

E_form (eV/atom): -0.349
E above lowest polymorph (eV/atom): 0.000
Symmetry: Pmc2_1


Size of the total moment list, top to bottom, in μB per atom: 0.176; 0.089; 0.000; 0.001; 0.686; 0.000; 0.000; 2.508; 0.000; 0.000; 0.346; 0.000
Raw total energy list, top to bottom, in eV/atom: -4.839; -8.935; -6.016; -5.591; -4.020; -3.004; -5.508; -5.378; -2.767; -2.262; -4.667; -3.786